1.
The following is a DFT calculation (PBE-GGA) of ZnCu6Pd8 after structural relaxation.

The structure in extended XYZ format:
```
15
Lattice="3.587 2.071 5.142 -3.587 2.071 5.142 0.000 -4.142 5.142" Properties=species:S:1:pos:R:3 pbc="T T T"
Zn 0.000 0.000 0.000
Cu -1.155 -2.126 5.913
Cu -2.418 -0.063 9.514
Cu -1.263 2.063 5.913
Cu 1.263 -2.063 9.514
Cu 2.418 0.063 5.913
Cu 1.155 2.126 9.514
Pd -2.386 -0.049 6.950
Pd -1.151 -2.091 8.477
Pd 0.000 0.000 5.136
Pd 1.235 -2.042 6.950
Pd -1.235 2.042 8.477
Pd 0.000 0.000 10.291
Pd 1.151 2.091 6.950
Pd 2.386 0.049 8.477
```

- energy of formation from the pure elements (meV/atom) = 42



2.
The following is a DFT calculation (PBE-GGA) of InAgGe after structural relaxation.

The structure in extended XYZ format:
```
6
Lattice="4.867 0.000 0.000 2.233 4.689 0.000 1.719 -0.688 5.626" Properties=species:S:1:pos:R:3 pbc="T T T"
In 1.946 0.427 1.779
In 6.873 3.574 3.848
Ag 2.189 0.486 4.799
Ag 6.630 3.514 0.827
Ge 4.612 1.811 4.119
Ge 4.208 2.190 1.507
```

- energy of formation from the pure elements (meV/atom) = 157



3.
The following is a DFT calculation (PBE-GGA) of ReS2Cl after structural relaxation.

The structure in extended XYZ format:
```
16
Lattice="6.243 0.000 0.000 0.000 6.243 0.000 0.000 0.000 6.243" Properties=species:S:1:pos:R:3 pbc="T T T"
Re 0.000 0.000 0.000
Re 0.000 3.121 3.121
Re 3.121 0.000 3.121
Re 3.121 3.121 0.000
S 1.561 1.561 1.561
S 1.561 1.561 4.682
S 1.561 4.682 1.561
S 1.561 4.682 4.682
S 4.682 1.561 1.561
S 4.682 1.561 4.682
S 4.682 4.682 1.561
S 4.682 4.682 4.682
Cl 0.000 0.000 3.121
Cl 0.000 3.121 0.000
Cl 3.121 0.000 0.000
Cl 3.121 3.121 3.121
```

- raw formation energy (eV per atom) = 0.849



| no. | size of the total moment (μB/atom) | density of states at the Fermi level (states/eV/cell) |
| --- | --- | --- |
| 1 | 0.000 | 19.7 |
| 2 | 0.000 | 2.0 |
| 3 | 0.372 | 7.8 |